The following is a PBE calculation of a relaxed AcErGa2 crystal, from Alexandria via LeMat-Bulk.

Values from the calculation:
Total DFT energy (no corrections) ... -4.19 eV/atom
Formation energy from the elements ... -0.511 eV/atom

Structure (POSCAR):
```
AcErGa2
1.0
-1.183 -1.566 3.860
5.310 -6.892 -1.169
8.743 5.876 5.064
Ac Er Ga
4 4 8
Direct
0.250 0.131 0.866
0.750 0.869 0.134
0.750 0.369 0.366
0.250 0.631 0.634
0.750 0.006 0.615
0.250 0.994 0.385
0.250 0.494 0.115
0.750 0.506 0.885
0.750 0.838 0.828
0.250 0.162 0.172
0.750 0.338 0.672
0.250 0.662 0.328
0.250 0.735 0.931
0.750 0.265 0.069
0.250 0.235 0.569
0.750 0.765 0.431
```